No. 1
SmB12: PBEsol geometry, meta-GGA SCAN.

```
data_SmB12
_cell_length_a 7.505
_cell_length_b 7.505
_cell_length_c 7.505
_cell_angle_alpha 90.00
_cell_angle_beta 90.00
_cell_angle_gamma 90.00
_space_group_name_H-M_alt 'F m -3 m'
_space_group_IT_number 225
_space_group_name_Hall '-F 4 2 3'
loop_
_atom_site_label
_atom_site_fract_x
_atom_site_fract_y
_atom_site_fract_z
Sm1 0.000 0.000 0.000
B1 0.000 0.169 0.331
```

## Properties
ρ (g/cm3): 4.40
ΔH_f (0 K) (meV/atom): -278
DOS(E_F) (states/eV/f.u.): 0.43
M_tot (μB/f.u.): 0.0

No. 2
CsTmZnSe3: PBEsol geometry, meta-GGA SCAN.

```
data_CsTmZnSe3
_cell_length_a 4.057
_cell_length_b 15.821
_cell_length_c 10.692
_cell_angle_alpha 90.00
_cell_angle_beta 90.00
_cell_angle_gamma 90.00
_space_group_name_H-M_alt 'C m c m'
_space_group_IT_number 63
_space_group_name_Hall '-C 2c 2'
loop_
_atom_site_label
_atom_site_fract_x
_atom_site_fract_y
_atom_site_fract_z
Cs1 0.000 0.244 0.250
Tm1 0.000 0.500 0.000
Zn1 0.000 0.037 0.750
Se1 0.000 0.117 0.557
Se2 0.000 0.443 0.750
```

## Properties
ρ (g/cm3): 5.85
DOS(E_F) (states/eV/f.u.): 0.00
M_tot (μB/f.u.): 0.0
Raw formation energy (eV/atom): -1.60

No. 3
GdAlCu: PBEsol geometry, meta-GGA SCAN.

```
data_GdAlCu
_cell_length_a 6.9430
_cell_length_b 6.9430
_cell_length_c 4.0359
_cell_angle_alpha 90.00
_cell_angle_beta 90.00
_cell_angle_gamma 120.00
_space_group_name_H-M_alt 'P -6 2 m'
_space_group_IT_number 189
_space_group_name_Hall 'P -6 -2'
loop_
_atom_site_label
_atom_site_fract_x
_atom_site_fract_y
_atom_site_fract_z
Gd1 0.0000 0.5830 0.0000
Al1 0.0000 0.2352 0.5000
Cu1 0.0000 0.0000 0.0000
Cu2 0.3333 0.6667 0.5000
```

## Properties
ρ (g/cm3): 7.33
ΔH_f (0 K) (meV/atom): -465
DOS(E_F) (states/eV/f.u.): 1.68
M_tot (μB/f.u.): 7.7

No. 4
CrOs3: PBEsol geometry, meta-GGA SCAN.

```
data_CrOs3
_cell_length_a 5.348
_cell_length_b 12.933
_cell_length_c 4.645
_cell_angle_alpha 90.00
_cell_angle_beta 90.00
_cell_angle_gamma 90.00
_space_group_name_H-M_alt 'P m m n'
_space_group_IT_number 59
loop_
_space_group_symop_operation_xyz
'x,y,z'
'-x,-y,-z'
'-x+1/2,-y+1/2,z'
'x+1/2,y+1/2,-z'
'x+1/2,-y,-z'
'-x+1/2,y,z'
'-x,y+1/2,-z'
'x,-y+1/2,z'
loop_
_atom_site_label
_atom_site_fract_x
_atom_site_fract_y
_atom_site_fract_z
Cr1 0.250 0.087 0.163
Cr2 0.250 0.750 0.507
Os1 0.001 0.250 0.002
Os2 0.001 0.586 0.334
Os3 0.250 0.250 0.493
Os4 0.250 0.584 0.834
```

## Properties
ρ (g/cm3): 19.31
ΔH_f (0 K) (meV/atom): 52
DOS(E_F) (states/eV/f.u.): 3.28
M_tot (μB/f.u.): 0.0